MnPN2O: optimized geometry, GGA+U.

M_tot = 4.462 μB/f.u.
Raw total energy = -6.86 eV per atom
Crystal system = tetragonal

Cell: 3.373 3.373 3.999 Å, 90.00 90.00 90.00°
Site moments in Bohr magnetons follow the coordinates.
Fractional coordinates of all 5 atoms:
P: 0.000 0.000 0.000  0.02
Mn: 0.500 0.500 0.500  4.62
O: 0.000 0.000 0.500  0.05
N: 0.000 0.500 0.000  -0.15
N: 0.500 0.000 0.000  -0.15